The following is a DFT calculation (GGA-PBE) of a relaxed structure of CsIn2Au4.

Cell lengths 9.2815, 9.2815, 8.3481 Å; angles 90.00, 90.00, 90.00 degrees
With the nearest neighbours (Å) after each atom.
Space group I4/mcm (No. 140)
Symmetry-distinct sites (fractional):
Cs  0.0000  0.0000  0.2500  8 Au 3.58
In  0.1330  0.3670  0.0000  8 Au 2.81-3.11
Au  0.1544  0.3456  0.3343  2 Au 2.77-2.88, 3 In 2.81-3.01

As for the crystal system: tetragonal. The value obtained for the magnetization is 0.00 μB/cell. The calculation puts the energy of formation at -0.230 eV/atom.